{
  "formula": "CsCuS3",
  "functional": "PBE-GGA",
  "state": "relaxed",
  "dos_ef_per_ev_fu": 5.013,
  "raw_formation_energy_ev_per_atom": 0.065,
  "total_energy_ev_per_atom": -3.40,
  "volume_a3_per_cell": 110,
  "de_polymorph_mev_per_atom": 0.0,
  "lattice": [[4.789, 0.000, 0.000], [0.000, 4.789, 0.000], [0.000, 0.000, 4.789]],
  "species": ["Cs", "Cu", "S", "S", "S"],
  "frac_coords": [[0.000, 0.000, 0.000], [0.500, 0.500, 0.500], [0.000, 0.500, 0.500], [0.500, 0.000, 0.500], [0.500, 0.500, 0.000]]
}



{
  "formula": "CsCuS4",
  "functional": "PBE-GGA",
  "state": "relaxed",
  "dos_ef_per_ev_fu": 0.000,
  "raw_formation_energy_ev_per_atom": -0.444,
  "total_energy_ev_per_atom": -4.02,
  "volume_a3_per_cell": 673,
  "de_polymorph_mev_per_atom": 0.0,
  "lattice": [[5.282, 0.000, 0.000], [0.000, 9.104, 0.000], [0.000, 0.000, 13.989]],
  "species": ["Cs", "Cs", "Cs", "Cs", "Cu", "Cu", "Cu", "Cu", "S", "S", "S", "S", "S", "S", "S", "S", "S", "S", "S", "S", "S", "S", "S", "S"],
  "frac_coords": [[0.178, 0.082, 0.338], [0.322, 0.918, 0.838], [0.678, 0.418, 0.662], [0.822, 0.582, 0.162], [0.035, 0.144, 0.061], [0.465, 0.856, 0.561], [0.535, 0.356, 0.939], [0.965, 0.644, 0.439], [0.060, 0.561, 0.924], [0.116, 0.710, 0.589], [0.150, 0.358, 0.854], [0.179, 0.913, 0.099], [0.321, 0.087, 0.599], [0.350, 0.642, 0.354], [0.384, 0.290, 0.089], [0.440, 0.439, 0.424], [0.560, 0.939, 0.076], [0.616, 0.790, 0.411], [0.650, 0.142, 0.146], [0.679, 0.587, 0.901], [0.821, 0.413, 0.401], [0.850, 0.858, 0.646], [0.884, 0.210, 0.911], [0.940, 0.061, 0.576]]
}



{
  "formula": "CsCuS3",
  "functional": "PBE-GGA",
  "state": "relaxed",
  "dos_ef_per_ev_fu": 5.613,
  "raw_formation_energy_ev_per_atom": 1.572,
  "total_energy_ev_per_atom": -1.89,
  "volume_a3_per_cell": 163,
  "de_polymorph_mev_per_atom": 1507.2,
  "lattice": [[5.466, 0.000, 0.000], [0.000, 5.466, 0.000], [0.000, 0.000, 5.466]],
  "species": ["Cs", "Cu", "S", "S", "S"],
  "frac_coords": [[0.000, 0.000, 0.000], [0.500, 0.500, 0.500], [0.000, 0.000, 0.500], [0.000, 0.500, 0.000], [0.500, 0.000, 0.000]]
}